Record 1
## Ba2PCBr (meta-GGA SCAN)

Data for Ba2PCBr at its PBEsol-relaxed geometry.

Properties
density of states at the Fermi level	2.5	states/eV per cell
uncorrected energy	-117.4	eV/cell
total magnetization	0.00	μB/f.u.
E_form (uncorrected)	32.4	kJ/mol of atoms

Cell: 6.0195 6.0195 4.0291 Å, 90.00 90.00 90.00°
With the nearest neighbours (Å) after each atom.
Fractional positions:
Ba (0.0000, 0.5000, 0.0000)  2 Br 3.01
Ba (0.5000, 0.0000, 0.0000)  2 Br 3.01
P (0.0000, 0.0000, 0.5000)  8 Ba 3.62, 2 P 4.03
C (0.5000, 0.5000, 0.5000)  2 Br 2.01
Br (0.5000, 0.5000, 0.0000)  2 C 2.01

Record 2
## BaCSe2Br (meta-GGA SCAN)

Data for BaCSe2Br at its PBEsol-relaxed geometry.

Properties
density of states at the Fermi level	1.5	states/eV per cell
uncorrected energy	-110.0	eV/cell
total magnetization	0.00	μB/f.u.
E_form (uncorrected)	-13.9	kJ/mol of atoms

Cell: 4.5362 4.5362 5.3424 Å, 90.00 90.00 90.00°
With the nearest neighbours (Å) after each atom.
Fractional positions:
Ba (0.0000, 0.0000, 0.0000)  4 Br 3.21, 8 Se 3.50
C (0.5000, 0.5000, 0.5000)  4 Se 2.27
Se (0.0000, 0.5000, 0.5000)  2 C 2.27
Se (0.5000, 0.0000, 0.5000)  2 C 2.27
Br (0.5000, 0.5000, 0.0000)  2 C 2.67